# InReCl

A relaxed structure of InReCl (GGA-PBE, Alexandria).

Geometry as POSCAR:
```
InReCl
1.0
4.614 0.000 0.000
2.307 3.995 0.000
2.307 1.332 3.767
In Re Cl
1 1 1
direct
0.500 0.500 0.500 In
0.750 0.750 0.750 Re
0.000 0.000 0.000 Cl
```

Properties
Uncorrected energy: -4.4648 eV per atom
Energy relative to the lowest polymorph listed for this composition: 2.08 eV per formula unit
ΔE_f (raw): 1213 meV/atom
N(E_F): 1.07 states/eV/atom
M_tot: 0.91 μB/atom